# 1
# NpSi2TcIr

A relaxed NpSi2TcIr crystal (PBE-GGA, Alexandria via LeMat-Bulk).

For the density of states at the Fermi level, the calculation gives 2.449 states/eV per atom. Its calculated total energy is -9.187 eV/atom. The total moment comes out at 0.724 μB/atom. The calculation puts the formation energy (no corrections) at -0.585 eV per atom.

The structure belongs to space group I-4m2 (No. 119); the cell edges are 4.169, 4.169 and 9.733 Å and the angles 90.00°, 90.00° and 90.00°. The inequivalent atoms are Np at (0.000, 0.000, 0.000), Si at (0.000, 0.000, 0.375), Tc at (0.000, 0.500, 0.250) and Ir at (0.000, 0.500, 0.750).

# 2
# Np2Si4TcIr3

A relaxed Np2Si4TcIr3 crystal (PBE-GGA, Alexandria via LeMat-Bulk).

For the density of states at the Fermi level, the calculation gives 2.085 states/eV per atom. Its calculated total energy is -9.108 eV/atom. The total moment comes out at 0.702 μB/atom. The calculation puts the formation energy (no corrections) at -0.655 eV per atom.

The structure belongs to space group P-4m2 (No. 115); the cell edges are 4.196, 4.196 and 9.633 Å and the angles 90.00°, 90.00° and 90.00°. The inequivalent atoms are Np at (0.000, 0.500, 0.248), Si at (0.000, 0.000, 0.500), Si at (0.000, 0.500, 0.873), Si at (0.500, 0.500, 0.500), Tc at (0.500, 0.500, 0.000), Ir at (0.000, 0.000, 0.000) and Ir at (0.000, 0.500, 0.626).

# 3
# Th2NpSi3Ir12

A relaxed Th2NpSi3Ir12 crystal (PBE-GGA, Alexandria via LeMat-Bulk).

For the density of states at the Fermi level, the calculation gives 0.648 states/eV per atom. Its calculated total energy is -8.458 eV/atom. The total moment comes out at 0.040 μB/atom. The calculation puts the formation energy (no corrections) at -0.103 eV per atom.

The structure belongs to space group R-3m (No. 166, hexagonal axes); the cell edges are 8.0492, 8.0492 and 18.5321 Å and the angles 90.00°, 90.00° and 120.00°. The inequivalent atoms are Th at (0.0000, 0.0000, 0.1036), Np at (0.0000, 0.0000, 0.5000), Si at (0.0000, 0.5000, 0.0000), Ir at (0.0205, 0.5102, 0.8701) and Ir at (0.0253, 0.5126, 0.3712).

# 4
# Th2NpSi3Ir4

A relaxed Th2NpSi3Ir4 crystal (PBE-GGA, Alexandria via LeMat-Bulk).

For the density of states at the Fermi level, the calculation gives 0.941 states/eV per atom. Its calculated total energy is -8.832 eV/atom. The total moment comes out at 0.358 μB/atom. The calculation puts the formation energy (no corrections) at -0.883 eV per atom.

The structure belongs to space group P-4m2 (No. 115); the cell edges are 4.169, 4.169 and 10.894 Å and the angles 90.00°, 90.00° and 90.00°. The inequivalent atoms are Th at (0.000, 0.500, 0.234), Np at (0.000, 0.000, 0.500), Si at (0.000, 0.500, 0.880), Si at (0.500, 0.500, 0.500), Ir at (0.000, 0.000, 0.000), Ir at (0.000, 0.500, 0.658) and Ir at (0.500, 0.500, 0.000).